(1)
{"formula": "K2ErRuO6", "functional": "PBE", "state": "relaxed", "cell": [[-3.695, 0.429, 4.304], [-4.652, -1.308, -3.864], [2.931, -4.567, 2.971]], "species": ["K", "K", "Er", "Ru", "O", "O", "O", "O", "O", "O"], "fractional_positions": [[0.113, 0.333, 0.667], [0.887, 0.667, 0.333], [0.500, 0.000, 0.000], [0.000, 0.000, 0.000], [0.792, 0.142, 0.283], [0.792, 0.142, 0.858], [0.792, 0.717, 0.858], [0.208, 0.858, 0.142], [0.208, 0.283, 0.142], [0.208, 0.858, 0.717]], "spacegroup": "P-3m1, No. 164"}


(2)
{"formula": "KEr2RuO8", "functional": "PBE", "state": "relaxed", "cell": [[-5.278, -0.067, -0.259], [-0.095, -3.694, 1.702], [-0.400, 1.222, 6.983]], "species": ["K", "Er", "Er", "Ru", "O", "O", "O", "O", "O", "O", "O", "O"], "fractional_positions": [[0.000, 0.000, 0.500], [0.521, 0.383, 0.788], [0.479, 0.617, 0.212], [0.000, 0.000, 0.000], [0.050, 0.643, 0.231], [0.675, 0.814, 0.917], [0.789, 0.211, 0.141], [0.950, 0.357, 0.769], [0.325, 0.186, 0.083], [0.211, 0.789, 0.859], [0.505, 0.820, 0.496], [0.495, 0.180, 0.504]], "spacegroup": "P-1, No. 2"}


(3)
{"formula": "K3Er3RuO8", "functional": "PBE", "state": "relaxed", "cell": [[6.696, 0.000, 0.000], [-3.348, 5.800, -0.022], [0.000, -3.844, 6.286]], "species": ["K", "K", "K", "Er", "Er", "Er", "Ru", "O", "O", "O", "O", "O", "O", "O", "O"], "fractional_positions": [[0.000, 0.000, 0.000], [0.000, 0.500, 0.000], [0.500, 0.500, 0.000], [0.500, 0.000, 0.500], [0.500, 0.500, 0.500], [0.000, 0.500, 0.500], [0.000, 0.000, 0.500], [0.273, 0.546, 0.318], [0.727, 0.454, 0.682], [0.788, 0.575, 0.327], [0.212, 0.425, 0.673], [0.788, 0.039, 0.327], [0.212, 0.961, 0.673], [0.251, 0.039, 0.327], [0.749, 0.961, 0.673]], "spacegroup": "R-3m, No. 166"}


(4)
{"formula": "KErS2O6", "functional": "PBE", "state": "relaxed", "cell": [[-2.425, -4.230, 2.118], [2.479, -4.700, 0.121], [2.620, -1.449, 6.776]], "species": ["K", "Er", "S", "S", "O", "O", "O", "O", "O", "O"], "fractional_positions": [[0.000, 0.000, 0.000], [0.500, 0.500, 0.500], [0.738, 0.738, 0.786], [0.262, 0.262, 0.214], [0.056, 0.528, 0.697], [0.718, 0.056, 0.697], [0.472, 0.282, 0.303], [0.944, 0.472, 0.303], [0.282, 0.944, 0.303], [0.528, 0.718, 0.697]], "spacegroup": "R-3, No. 148"}


(5)
{"formula": "K2ErSO6", "functional": "PBE", "state": "relaxed", "cell": [[5.538, 0.000, 0.000], [0.000, 6.156, 0.000], [0.000, -3.078, 5.331]], "species": ["K", "K", "Er", "S", "O", "O", "O", "O", "O", "O"], "fractional_positions": [[0.104, 0.333, 0.667], [0.896, 0.667, 0.333], [0.500, 0.000, 0.000], [0.000, 0.000, 0.000], [0.821, 0.129, 0.258], [0.821, 0.129, 0.871], [0.821, 0.742, 0.871], [0.179, 0.871, 0.129], [0.179, 0.258, 0.129], [0.179, 0.871, 0.742]], "spacegroup": "P-3m1, No. 164"}


(6)
{"formula": "KErSO", "functional": "PBE", "state": "relaxed", "cell": [[-1.146, -3.296, 1.172], [3.500, 1.020, 0.510], [-2.159, 4.703, 5.334]], "species": ["K", "Er", "S", "O"], "fractional_positions": [[0.970, 0.384, 0.367], [0.281, 0.538, 0.834], [0.104, 0.950, 0.070], [0.523, 0.159, 0.699]], "spacegroup": "Cm, No. 8"}


(7)
{"formula": "K3ErS3O12", "functional": "PBE", "state": "relaxed", "cell": [[-1.674, 2.549, -8.584], [-4.478, -7.926, 2.008], [-11.786, 7.830, 4.624]], "species": ["K", "K", "K", "K", "K", "K", "K", "K", "K", "K", "K", "K", "Er", "Er", "Er", "Er", "S", "S", "S", "S", "S", "S", "S", "S", "S", "S", "S", "S", "O", "O", "O", "O", "O", "O", "O", "O", "O", "O", "O", "O", "O", "O", "O", "O", "O", "O", "O", "O", "O", "O", "O", "O", "O", "O", "O", "O", "O", "O", "O", "O", "O", "O", "O", "O", "O", "O", "O", "O", "O", "O", "O", "O", "O", "O", "O", "O"], "fractional_positions": [[0.748, 0.266, 0.439], [0.248, 0.266, 0.561], [0.540, 0.666, 0.487], [0.040, 0.666, 0.513], [0.531, 0.148, 0.011], [0.031, 0.148, 0.989], [0.205, 0.771, 0.923], [0.705, 0.771, 0.077], [0.453, 0.315, 0.262], [0.953, 0.315, 0.738], [0.414, 0.786, 0.262], [0.914, 0.786, 0.738], [0.500, 0.997, 0.675], [0.000, 0.997, 0.325], [0.461, 0.490, 0.855], [0.961, 0.490, 0.145], [0.155, 0.411, 0.346], [0.655, 0.411, 0.654], [0.283, 0.157, 0.808], [0.783, 0.157, 0.192], [0.335, 0.506, 0.045], [0.835, 0.506, 0.955], [0.294, 0.657, 0.690], [0.794, 0.657, 0.310], [0.344, 0.989, 0.450], [0.844, 0.989, 0.550], [0.643, 0.912, 0.843], [0.143, 0.912, 0.157], [0.323, 0.505, 0.356], [0.823, 0.505, 0.644], [0.067, 0.407, 0.429], [0.567, 0.407, 0.571], [0.146, 0.251, 0.321], [0.646, 0.251, 0.679], [0.087, 0.474, 0.270], [0.587, 0.474, 0.730], [0.434, 0.224, 0.858], [0.934, 0.224, 0.142], [0.227, 0.290, 0.797], [0.727, 0.290, 0.203], [0.315, 0.105, 0.717], [0.815, 0.105, 0.283], [0.166, 0.029, 0.856], [0.666, 0.029, 0.144], [0.336, 0.365, 0.997], [0.836, 0.365, 0.003], [0.168, 0.492, 0.060], [0.668, 0.492, 0.940], [0.409, 0.635, 0.980], [0.909, 0.635, 0.020], [0.422, 0.533, 0.130], [0.922, 0.533, 0.870], [0.636, 0.749, 0.843], [0.136, 0.749, 0.157], [0.718, 0.987, 0.927], [0.218, 0.987, 0.073], [0.731, 0.992, 0.761], [0.231, 0.992, 0.239], [0.483, 0.922, 0.832], [0.983, 0.922, 0.168], [0.458, 0.739, 0.655], [0.958, 0.739, 0.345], [0.222, 0.779, 0.697], [0.722, 0.779, 0.303], [0.303, 0.597, 0.783], [0.803, 0.597, 0.217], [0.206, 0.531, 0.630], [0.706, 0.531, 0.370], [0.460, 0.100, 0.391], [0.960, 0.100, 0.609], [0.184, 0.001, 0.436], [0.684, 0.001, 0.564], [0.336, 0.830, 0.434], [0.836, 0.830, 0.566], [0.384, 0.031, 0.547], [0.884, 0.031, 0.453]], "spacegroup": "Pc, No. 7"}


(8)
{"formula": "K2ErSb2O6", "functional": "PBE", "state": "relaxed", "cell": [[6.260, 0.000, 0.000], [-3.130, 4.972, -0.114], [0.000, -2.922, 6.659]], "species": ["K", "K", "Er", "Sb", "Sb", "O", "O", "O", "O", "O", "O"], "fractional_positions": [[0.698, 0.397, 0.142], [0.302, 0.603, 0.858], [0.500, 0.000, 0.500], [0.928, 0.857, 0.761], [0.072, 0.143, 0.239], [0.736, 0.472, 0.534], [0.202, 0.913, 0.256], [0.289, 0.087, 0.744], [0.798, 0.087, 0.744], [0.711, 0.913, 0.256], [0.264, 0.528, 0.466]], "spacegroup": "C2/m, No. 12"}


(9)
{"formula": "K2ErSbO7", "functional": "PBE", "state": "relaxed", "cell": [[-3.992, 4.165, 5.725], [3.992, -4.165, 5.725], [3.992, 4.165, -5.725]], "species": ["K", "K", "K", "K", "Er", "Er", "Sb", "Sb", "O", "O", "O", "O", "O", "O", "O", "O", "O", "O", "O", "O", "O", "O"], "fractional_positions": [[0.000, 0.000, 0.000], [0.500, 0.500, 0.000], [0.500, 0.500, 0.500], [0.500, 0.000, 0.000], [0.000, 0.500, 0.000], [0.000, 0.000, 0.500], [0.500, 0.000, 0.500], [0.000, 0.500, 0.500], [0.386, 0.089, 0.297], [0.708, 0.411, 0.297], [0.684, 0.933, 0.396], [0.963, 0.567, 0.751], [0.963, 0.212, 0.396], [0.684, 0.288, 0.751], [0.316, 0.712, 0.249], [0.037, 0.788, 0.604], [0.037, 0.433, 0.249], [0.316, 0.067, 0.604], [0.886, 0.750, 0.136], [0.614, 0.911, 0.703], [0.292, 0.589, 0.703], [0.114, 0.250, 0.864]], "spacegroup": "Imma, No. 74"}


(10)
{"formula": "K2ErSbO4", "functional": "PBE", "state": "relaxed", "cell": [[7.155, 0.005, 0.015], [0.000, 7.155, 0.015], [-3.509, -3.511, 5.045]], "species": ["K", "K", "K", "K", "Er", "Er", "Sb", "Sb", "O", "O", "O", "O", "O", "O", "O", "O"], "fractional_positions": [[0.500, 0.000, 0.000], [0.500, 0.000, 0.500], [0.000, 0.000, 0.500], [0.500, 0.500, 0.000], [0.000, 0.500, 0.000], [0.000, 0.500, 0.500], [0.500, 0.500, 0.500], [0.000, 0.000, 0.000], [0.190, 0.722, 0.956], [0.778, 0.310, 0.544], [0.222, 0.690, 0.456], [0.810, 0.278, 0.044], [0.773, 0.727, 0.971], [0.773, 0.727, 0.529], [0.227, 0.273, 0.471], [0.227, 0.273, 0.029]], "spacegroup": "Imma, No. 74"}


(11)
{"formula": "K3Er2ScO6", "functional": "PBE", "state": "relaxed", "cell": [[5.853, -0.001, 0.000], [-2.926, 5.070, 0.000], [-0.976, -1.690, 6.222]], "species": ["K", "K", "K", "Er", "Er", "Sc", "O", "O", "O", "O", "O", "O"], "fractional_positions": [[0.165, 0.835, 0.500], [0.835, 0.165, 0.500], [0.500, 0.500, 0.500], [0.333, 0.667, 0.000], [0.667, 0.333, 0.000], [0.000, 0.000, 0.000], [0.939, 0.617, 0.818], [0.739, 0.739, 0.182], [0.061, 0.383, 0.182], [0.617, 0.939, 0.818], [0.261, 0.261, 0.818], [0.383, 0.061, 0.182]], "spacegroup": "C2/m, No. 12"}


(12)
{"formula": "K2ErScO4", "functional": "PBE", "state": "relaxed", "cell": [[3.351, 0.000, 0.000], [0.000, 5.792, 0.094], [0.000, -2.031, 6.174]], "species": ["K", "K", "Er", "Sc", "O", "O", "O", "O"], "fractional_positions": [[0.500, 0.000, 0.500], [0.000, 0.500, 0.500], [0.500, 0.500, 0.000], [0.000, 0.000, 0.000], [0.500, 0.217, 0.180], [0.500, 0.783, 0.820], [0.000, 0.262, 0.818], [0.000, 0.738, 0.182]], "spacegroup": "P2/m, No. 10"}


Number 1: VASP energy -6.17 eV per atom. Number 2: VASP energy -6.80 eV per atom. Number 3: VASP energy -6.81 eV per atom. Number 4: VASP energy -6.39 eV per atom. Number 5: VASP energy -5.71 eV per atom. Number 6: VASP energy -5.89 eV per atom. Number 7: VASP energy -6.22 eV per atom. Number 8: VASP energy -5.93 eV per atom. Number 9: VASP energy -5.58 eV per atom. Number 10: VASP energy -5.83 eV per atom. Number 11: VASP energy -6.82 eV per atom. Number 12: VASP energy -6.88 eV per atom.